[1]
Entry from Alexandria: a relaxed structure of SiNi2Rh (PBEsol).

**Crystal system**: tetragonal
**Raw formation energy**: -0.483 eV per atom
**SG**: P4/mmm (123)

Unit cell a=3.519 b=3.519 c=3.670 alpha=90.00 beta=90.00 gamma=90.00
Sites, in units of the cell vectors:
Rh1 0.500 0.500 0.500
Ni1 0.000 0.500 0.000
Ni2 0.500 0.000 0.000
Si1 0.000 0.000 0.500

[2]
Entry from Alexandria: a relaxed structure of SrCa2Se (PBEsol).

**Crystal system**: orthorhombic
**Raw formation energy**: -0.503 eV per atom
**SG**: Pmmm (47)

Unit cell a=4.647 b=4.708 c=6.040 alpha=90.00 beta=90.00 gamma=90.00
Sites, in units of the cell vectors:
Ca1 0.500 0.500 0.000
Ca2 0.000 0.000 0.000
Sr1 0.000 0.500 0.500
Se1 0.500 0.000 0.500

[3]
Entry from Alexandria: a relaxed structure of Ta2ReMo (PBEsol).

**Crystal system**: trigonal
**Energy above the lowest structure with this stoichiometry**: 0.506 eV/atom
**Formation energy**: 0.7 eV per formula unit
**SG**: R-3m (166)

Unit cell a=3.025 b=3.025 c=8.550 alpha=79.81 beta=79.81 gamma=60.00
Sites, in units of the cell vectors:
Ta1 0.750 0.750 0.751
Ta2 0.250 0.250 0.249
Mo1 0.500 0.500 0.500
Re1 0.000 0.000 0.000